1.
A relaxed LiPmTeO6 crystal. Source: Alexandria, functional PBE-GGA.

Cell and atoms, written as POSCAR:
```
LiPmTeO6
1.0
5.036 0.000 0.000
0.000 5.340 0.000
0.000 -2.670 4.625
O Li Te Pm
6 1 1 1
direct
0.284 0.965 0.634 O
0.284 0.366 0.331 O
0.716 0.965 0.331 O
0.716 0.366 0.035 O
0.716 0.669 0.634 O
0.284 0.669 0.035 O
0.500 0.000 0.000 Li
0.500 0.667 0.333 Te
0.000 0.333 0.667 Pm
```

Computed properties:
space group	No. 149


2.
A relaxed Li2Pm2TeO6 crystal. Source: Alexandria, functional PBE-GGA.

Cell and atoms, written as POSCAR:
```
Li2Pm2TeO6
1.0
-1.745 -4.247 -4.045
0.103 -1.162 6.007
-4.496 2.722 -0.009
O Pm Li Te
6 2 2 1
direct
0.250 0.250 0.266 O
0.750 0.750 0.734 O
0.645 0.969 0.279 O
0.031 0.355 0.721 O
0.969 0.645 0.279 O
0.355 0.031 0.721 O
0.664 0.336 0.500 Pm
0.336 0.664 0.500 Pm
0.129 0.871 0.000 Li
0.871 0.129 0.000 Li
0.000 0.000 0.500 Te
```

Computed properties:
space group	No. 12


3.
A relaxed LiPmTe2O6 crystal. Source: Alexandria, functional PBE-GGA.

Cell and atoms, written as POSCAR:
```
LiPmTe2O6
1.0
6.600 0.144 0.149
2.152 7.017 0.367
2.152 0.106 7.025
O Pm Te Li
12 2 4 2
direct
0.941 0.956 0.319 O
0.972 0.396 0.872 O
0.059 0.044 0.681 O
0.754 0.357 0.379 O
0.028 0.604 0.128 O
0.528 0.128 0.604 O
0.246 0.643 0.621 O
0.746 0.621 0.643 O
0.472 0.872 0.396 O
0.254 0.379 0.357 O
0.559 0.681 0.044 O
0.441 0.319 0.956 O
0.250 0.708 0.292 Pm
0.750 0.292 0.708 Pm
0.837 0.670 0.857 Te
0.337 0.857 0.670 Te
0.163 0.330 0.143 Te
0.663 0.143 0.330 Te
0.750 0.644 0.356 Li
0.250 0.356 0.644 Li
```

Computed properties:
space group	No. 15


4.
A relaxed LiPmTiO4 crystal. Source: Alexandria, functional PBE-GGA.

Cell and atoms, written as POSCAR:
```
LiPmTiO4
1.0
-3.656 4.972 -1.099
-3.999 -0.077 -4.926
-6.033 -0.050 1.967
O Pm Li Ti
8 2 2 2
direct
0.722 0.319 0.237 O
0.722 0.737 0.819 O
0.278 0.681 0.763 O
0.777 0.228 0.728 O
0.266 0.228 0.728 O
0.278 0.263 0.181 O
0.223 0.772 0.272 O
0.734 0.772 0.272 O
0.000 0.000 0.000 Pm
0.000 0.500 0.500 Pm
0.000 0.000 0.500 Li
0.500 0.000 0.500 Li
0.399 0.351 0.851 Ti
0.601 0.649 0.149 Ti
```

Computed properties:
space group	No. 74


5.
A relaxed Li2PmTi3O8 crystal. Source: Alexandria, functional PBE-GGA.

Cell and atoms, written as POSCAR:
```
Li2PmTi3O8
1.0
-1.773 5.511 1.868
-1.677 0.857 5.785
3.820 3.292 3.818
O Li Ti Pm
8 2 3 1
direct
0.734 0.734 0.799 O
0.265 0.265 0.205 O
0.249 0.249 0.792 O
0.249 0.710 0.792 O
0.308 0.742 0.207 O
0.742 0.308 0.207 O
0.710 0.249 0.792 O
0.742 0.742 0.207 O
0.503 0.503 0.490 Li
0.108 0.108 0.675 Li
0.012 0.498 0.993 Ti
0.498 0.012 0.993 Ti
0.498 0.498 0.993 Ti
0.875 0.875 0.374 Pm
```

Computed properties:
space group	No. 160


6.
A relaxed Li2Pm2TiO6 crystal. Source: Alexandria, functional PBE-GGA.

Cell and atoms, written as POSCAR:
```
Li2Pm2TiO6
1.0
5.636 0.000 0.000
2.818 4.881 0.000
2.818 1.627 4.879
O Li Pm Ti
6 2 2 1
direct
0.760 0.760 0.262 O
0.781 0.240 0.738 O
0.760 0.219 0.262 O
0.240 0.240 0.738 O
0.219 0.760 0.262 O
0.240 0.781 0.738 O
0.427 0.427 0.719 Li
0.573 0.573 0.281 Li
0.788 0.788 0.635 Pm
0.212 0.212 0.365 Pm
0.000 0.000 0.000 Ti
```

Computed properties:
space group	No. 166


7.
A relaxed LiPmTl2O4 crystal. Source: Alexandria, functional PBE-GGA.

Cell and atoms, written as POSCAR:
```
LiPmTl2O4
1.0
3.452 0.000 0.000
-1.726 5.982 0.000
0.000 0.000 11.800
Tl O Li Pm
4 8 2 2
direct
0.632 0.265 0.042 Tl
0.368 0.735 0.958 Tl
0.632 0.265 0.458 Tl
0.368 0.735 0.542 Tl
0.333 0.667 0.353 O
0.667 0.333 0.853 O
0.000 0.000 0.500 O
0.667 0.333 0.647 O
0.590 0.181 0.250 O
0.000 0.000 0.000 O
0.410 0.819 0.750 O
0.333 0.667 0.147 O
0.799 0.598 0.750 Li
0.201 0.402 0.250 Li
0.927 0.853 0.250 Pm
0.073 0.147 0.750 Pm
```

Computed properties:
space group	No. 63


8.
A relaxed LiPm2TlO crystal. Source: Alexandria, functional PBE-GGA.

Cell and atoms, written as POSCAR:
```
LiPm2TlO
1.0
4.381 0.000 0.000
0.000 4.947 0.000
0.000 0.000 4.947
Tl O Pm Li
1 1 2 1
direct
0.500 0.500 0.500 Tl
0.000 0.000 0.000 O
0.000 0.500 0.000 Pm
0.000 0.000 0.500 Pm
0.500 0.000 0.000 Li
```

Computed properties:
space group	No. 123


9.
A relaxed LiPmTlO3 crystal. Source: Alexandria, functional PBE-GGA.

Cell and atoms, written as POSCAR:
```
LiPmTlO3
1.0
-2.087 2.661 0.245
-5.054 -3.539 -4.611
-2.157 -2.266 6.245
O Tl Pm Li
6 2 2 2
direct
0.250 0.065 0.862 O
0.750 0.935 0.138 O
0.750 0.168 0.477 O
0.250 0.623 0.865 O
0.250 0.832 0.523 O
0.750 0.377 0.135 O
0.250 0.621 0.208 Tl
0.750 0.379 0.792 Tl
0.750 0.845 0.803 Pm
0.250 0.155 0.197 Pm
0.750 0.905 0.400 Li
0.250 0.095 0.600 Li
```

Computed properties:
space group	No. 11


10.
A relaxed LiPm2TlO5 crystal. Source: Alexandria, functional PBE-GGA.

Cell and atoms, written as POSCAR:
```
LiPm2TlO5
1.0
5.682 0.000 0.000
0.000 6.676 0.000
0.000 0.000 6.676
O Pm Tl Li
10 4 2 2
direct
0.500 0.500 0.500 O
0.754 0.644 0.856 O
0.754 0.144 0.644 O
0.500 0.000 0.000 O
0.754 0.356 0.144 O
0.246 0.356 0.144 O
0.246 0.644 0.856 O
0.754 0.856 0.356 O
0.246 0.856 0.356 O
0.246 0.144 0.644 O
0.500 0.168 0.332 Pm
0.500 0.332 0.832 Pm
0.500 0.832 0.668 Pm
0.500 0.668 0.168 Pm
0.000 0.500 0.500 Tl
0.000 0.000 0.000 Tl
0.000 0.000 0.500 Li
0.000 0.500 0.000 Li
```

Computed properties:
space group	No. 127


11.
A relaxed Li2PmUO6 crystal. Source: Alexandria, functional PBE-GGA.

Cell and atoms, written as POSCAR:
```
Li2PmUO6
1.0
-2.429 4.464 2.354
-2.786 1.037 -4.840
-6.155 -4.736 2.529
Pm O U Li
2 12 2 4
direct
0.500 0.000 0.000 Pm
0.000 0.500 0.500 Pm
0.873 0.600 0.231 O
0.823 0.858 0.565 O
0.632 0.321 0.580 O
0.677 0.358 0.935 O
0.177 0.142 0.435 O
0.127 0.400 0.769 O
0.323 0.642 0.065 O
0.368 0.679 0.420 O
0.132 0.179 0.080 O
0.373 0.900 0.731 O
0.868 0.821 0.920 O
0.627 0.100 0.269 O
0.500 0.000 0.500 U
0.000 0.500 0.000 U
0.026 0.014 0.742 Li
0.474 0.514 0.758 Li
0.526 0.486 0.242 Li
0.974 0.986 0.258 Li
```

Computed properties:
space group	No. 14


12.
A relaxed LiPm2UO6 crystal. Source: Alexandria, functional PBE-GGA.

Cell and atoms, written as POSCAR:
```
LiPm2UO6
1.0
-3.022 -4.254 2.717
1.464 -5.638 -0.829
2.612 -3.053 4.496
O Pm Li U
6 2 1 1
direct
0.429 0.679 0.772 O
0.679 0.120 0.772 O
0.597 0.200 0.252 O
0.200 0.952 0.252 O
0.120 0.429 0.772 O
0.952 0.597 0.252 O
0.029 0.029 0.914 Pm
0.534 0.534 0.399 Pm
0.807 0.807 0.578 Li
0.316 0.316 0.053 U
```

Computed properties:
space group	No. 146


no.,formation energy (no corrections) (eV per atom)
1,-1.589
2,-2.201
3,-1.818
4,-2.919
5,-2.843
6,-2.661
7,-1.544
8,-1.341
9,-1.920
10,-2.081
11,-2.636
12,-3.112